1.
# MnMoPb GGA-PBEsol optimized geometry
# formation enthalpy at 0 K: 1.04 eV/atom
# volume: 20.48 Å³ per atom
data_MnMoPb
_cell_length_a 6.264
_cell_length_b 6.264
_cell_length_c 6.264
_cell_angle_alpha 90.00
_cell_angle_beta 90.00
_cell_angle_gamma 90.00
_space_group_name_H-M_alt 'F -4 3 m'
_space_group_IT_number 216
_space_group_name_Hall 'F -4 2 3'
loop_
_atom_site_label
_atom_site_type_symbol
_atom_site_fract_x
_atom_site_fract_y
_atom_site_fract_z
Mn1 Mn 0.000 0.000 0.000
Mo1 Mo 0.250 0.250 0.750
Pb1 Pb 0.000 0.000 0.500

2.
# Al2Te3 GGA-PBEsol optimized geometry
# volume: 32.57 Å³ per atom
# raw formation energy: -0.3766 eV per atom
data_Al2Te3
_cell_length_a 7.165
_cell_length_b 12.744
_cell_length_c 14.268
_cell_angle_alpha 90.00
_cell_angle_beta 90.38
_cell_angle_gamma 90.00
_space_group_name_H-M_alt 'P 1 21/c 1'
_space_group_IT_number 14
loop_
_space_group_symop_operation_xyz
'x,y,z'
'-x,-y,-z'
'-x,y+1/2,-z+1/2'
'x,-y+1/2,z+1/2'
loop_
_atom_site_label
_atom_site_type_symbol
_atom_site_fract_x
_atom_site_fract_y
_atom_site_fract_z
Al1 Al 0.070 0.068 0.182
Al2 Al 0.082 0.748 0.187
Al3 Al 0.419 0.091 0.807
Al4 Al 0.430 0.092 0.324
Te1 Te 0.072 0.069 0.370
Te2 Te 0.087 0.742 0.367
Te3 Te 0.095 0.095 0.899
Te4 Te 0.409 0.082 0.627
Te5 Te 0.409 0.743 0.598
Te6 Te 0.428 0.089 0.136

3.
# LiMg16Al12 GGA-PBEsol optimized geometry
# formation enthalpy at 0 K: -0.02 eV/atom
# volume: 19.47 Å³ per atom
# energy above the most stable polymorph in this dataset: 0.0004 eV/atom
data_LiMg16Al12
_cell_length_a 10.417
_cell_length_b 14.688
_cell_length_c 9.029
_cell_angle_alpha 90.00
_cell_angle_beta 125.17
_cell_angle_gamma 90.00
_space_group_name_H-M_alt 'C 1 m 1'
_space_group_IT_number 8
loop_
_space_group_symop_operation_xyz
'x,y,z'
'x,-y,z'
'x+1/2,y+1/2,z'
'x+1/2,-y+1/2,z'
loop_
_atom_site_label
_atom_site_type_symbol
_atom_site_fract_x
_atom_site_fract_y
_atom_site_fract_z
Li1 Li 0.000 0.000 0.000
Mg1 Mg 0.117 0.198 0.024
Mg2 Mg 0.214 0.500 0.422
Mg3 Mg 0.277 0.361 0.712
Mg4 Mg 0.301 0.301 0.393
Mg5 Mg 0.307 0.000 0.053
Mg6 Mg 0.317 0.000 0.711
Mg7 Mg 0.375 0.343 0.108
Mg8 Mg 0.472 0.500 0.365
Mg9 Mg 0.474 0.158 0.310
Mg10 Mg 0.490 0.173 0.708
Al1 Al 0.002 0.500 0.528
Al2 Al 0.040 0.091 0.708
Al3 Al 0.090 0.407 0.076
Al4 Al 0.133 0.185 0.524
Al5 Al 0.187 0.500 0.892
Al6 Al 0.222 0.093 0.339
Al7 Al 0.318 0.184 0.894

4.
# Mn2AsBr GGA-PBEsol optimized geometry
# volume: 15.61 Å³ per atom
# raw formation energy: 0.3466 eV per atom
# energy above the most stable polymorph in this dataset: 0.3013 eV/atom
data_Mn2AsBr
_cell_length_a 4.503
_cell_length_b 4.503
_cell_length_c 3.080
_cell_angle_alpha 90.00
_cell_angle_beta 90.00
_cell_angle_gamma 90.00
_space_group_name_H-M_alt 'P 4/m m m'
_space_group_IT_number 123
_space_group_name_Hall '-P 4 2'
loop_
_atom_site_label
_atom_site_type_symbol
_atom_site_fract_x
_atom_site_fract_y
_atom_site_fract_z
Mn1 Mn 0.000 0.500 0.000
As1 As 0.000 0.000 0.500
Br1 Br 0.500 0.500 0.500

5.
# ZnCoRu GGA-PBEsol optimized geometry
# formation enthalpy at 0 K: 0.84 eV/atom
# volume: 14.34 Å³ per atom
# energy above the most stable polymorph in this dataset: 0.6476 eV/atom
data_ZnCoRu
_cell_length_a 5.562
_cell_length_b 5.562
_cell_length_c 5.562
_cell_angle_alpha 90.00
_cell_angle_beta 90.00
_cell_angle_gamma 90.00
_space_group_name_H-M_alt 'F -4 3 m'
_space_group_IT_number 216
_space_group_name_Hall 'F -4 2 3'
loop_
_atom_site_label
_atom_site_type_symbol
_atom_site_fract_x
_atom_site_fract_y
_atom_site_fract_z
Zn1 Zn 0.000 0.000 0.000
Co1 Co 0.250 0.250 0.250
Ru1 Ru 0.250 0.250 0.750

6.
# Dy6InCo2 GGA-PBEsol optimized geometry
# formation enthalpy at 0 K: -0.28 eV/atom
# volume: 23.64 Å³ per atom
data_Dy6InCo2
_cell_length_a 9.163
_cell_length_b 9.487
_cell_length_c 9.789
_cell_angle_alpha 90.00
_cell_angle_beta 90.00
_cell_angle_gamma 90.00
_space_group_name_H-M_alt 'I m m m'
_space_group_IT_number 71
_space_group_name_Hall '-I 2 2'
loop_
_atom_site_label
_atom_site_type_symbol
_atom_site_fract_x
_atom_site_fract_y
_atom_site_fract_z
Dy1 Dy 0.000 0.207 0.236
Dy2 Dy 0.188 0.500 0.176
Dy3 Dy 0.214 0.315 0.500
In1 In 0.000 0.000 0.000
In2 In 0.000 0.000 0.500
Co1 Co 0.000 0.340 0.000
Co2 Co 0.000 0.500 0.386

7.
# ReTc4P GGA-PBEsol optimized geometry
# formation enthalpy at 0 K: 0.66 eV/atom
# volume: 14.64 Å³ per atom
data_ReTc4P
_cell_length_a 7.057
_cell_length_b 7.057
_cell_length_c 7.057
_cell_angle_alpha 90.00
_cell_angle_beta 90.00
_cell_angle_gamma 90.00
_space_group_name_H-M_alt 'F -4 3 m'
_space_group_IT_number 216
_space_group_name_Hall 'F -4 2 3'
loop_
_atom_site_label
_atom_site_type_symbol
_atom_site_fract_x
_atom_site_fract_y
_atom_site_fract_z
Re1 Re 0.000 0.000 0.000
Tc1 Tc 0.124 0.124 0.376
P1 P 0.250 0.250 0.750

8.
# BaCuP2 GGA-PBEsol optimized geometry
# formation enthalpy at 0 K: -0.48 eV/atom
# volume: 22.54 Å³ per atom
data_BaCuP2
_cell_length_a 9.556
_cell_length_b 3.953
_cell_length_c 6.367
_cell_angle_alpha 90.00
_cell_angle_beta 131.43
_cell_angle_gamma 90.00
_space_group_name_H-M_alt 'C 1 2/m 1'
_space_group_IT_number 12
loop_
_space_group_symop_operation_xyz
'x,y,z'
'-x,-y,-z'
'-x,y,-z'
'x,-y,z'
'x+1/2,y+1/2,z'
'-x+1/2,-y+1/2,-z'
'-x+1/2,y+1/2,-z'
'x+1/2,-y+1/2,z'
loop_
_atom_site_label
_atom_site_type_symbol
_atom_site_fract_x
_atom_site_fract_y
_atom_site_fract_z
Ba1 Ba 0.000 0.000 0.000
Cu1 Cu 0.000 0.500 0.500
P1 P 0.158 0.000 0.658

9.
# FeTeRu2 GGA-PBEsol optimized geometry
# volume: 14.71 Å³ per atom
# raw formation energy: 0.4697 eV per atom
data_FeTeRu2
_cell_length_a 3.030
_cell_length_b 3.030
_cell_length_c 6.408
_cell_angle_alpha 90.00
_cell_angle_beta 90.00
_cell_angle_gamma 90.00
_space_group_name_H-M_alt 'P 4 m m'
_space_group_IT_number 99
loop_
_space_group_symop_operation_xyz
'x,y,z'
'-y,x,z'
'-x,-y,z'
'y,-x,z'
'-x,y,z'
'y,x,z'
'x,-y,z'
'-y,-x,z'
loop_
_atom_site_label
_atom_site_type_symbol
_atom_site_fract_x
_atom_site_fract_y
_atom_site_fract_z
Fe1 Fe 0.000 0.000 0.000
Te1 Te 0.500 0.500 0.748
Ru1 Ru 0.000 0.000 0.481
Ru2 Ru 0.500 0.500 0.225

10.
# SrScCoHg2 GGA-PBEsol optimized geometry
# formation enthalpy at 0 K: 1.62 eV/atom
# volume: 36.30 Å³ per atom
data_SrScCoHg2
_cell_length_a 5.585
_cell_length_b 5.585
_cell_length_c 5.820
_cell_angle_alpha 90.00
_cell_angle_beta 90.00
_cell_angle_gamma 90.00
_space_group_name_H-M_alt 'P 4/m m m'
_space_group_IT_number 123
_space_group_name_Hall '-P 4 2'
loop_
_atom_site_label
_atom_site_type_symbol
_atom_site_fract_x
_atom_site_fract_y
_atom_site_fract_z
Sr1 Sr 0.000 0.000 0.000
Sc1 Sc 0.000 0.000 0.500
Co1 Co 0.500 0.500 0.500
Hg1 Hg 0.000 0.500 0.000